# La2InGe, optimized geometry, DFT PBE-GGA
# Formation energy from the elements   -0.211 eV/atom
data_La2InGe
_chemical_formula_sum 'La6 In3 Ge3'
_symmetry_space_group_name_H-M 'R -3 m'
_symmetry_Int_Tables_number 166
_symmetry_space_group_name_Hall '-R 3 2"'
_cell_length_a 4.1898
_cell_length_b 4.1898
_cell_length_c 30.7776
_cell_angle_alpha 90.00
_cell_angle_beta 90.00
_cell_angle_gamma 120.00
loop_
_atom_site_label
_atom_site_fract_x
_atom_site_fract_y
_atom_site_fract_z
La1 0.0000 0.0000 0.1112
In1 0.0000 0.0000 0.0000
Ge1 0.0000 0.0000 0.5000

---

# AlAs2Au, optimized geometry, DFT PBE-GGA
# Formation energy from the elements   0.085 eV/atom
data_AlAs2Au
_chemical_formula_sum 'Al1 As2 Au1'
_symmetry_space_group_name_H-M 'P m m 2'
_symmetry_Int_Tables_number 25
_cell_length_a 3.106
_cell_length_b 3.868
_cell_length_c 6.976
_cell_angle_alpha 90.00
_cell_angle_beta 90.00
_cell_angle_gamma 90.00
loop_
_symmetry_equiv_pos_as_xyz
'x,y,z'
'-x,-y,z'
'-x,y,z'
'x,-y,z'
loop_
_atom_site_label
_atom_site_fract_x
_atom_site_fract_y
_atom_site_fract_z
Al1 0.000 0.000 0.000
As1 0.000 0.000 0.609
As2 0.500 0.500 0.172
Au1 0.500 0.500 0.773

---

# DyEr2Ag4, optimized geometry, DFT PBE-GGA
# Formation energy from the elements   -0.101 eV/atom
data_DyEr2Ag4
_chemical_formula_sum 'Dy2 Er4 Ag8'
_symmetry_space_group_name_H-M 'I 4/m m m'
_symmetry_Int_Tables_number 139
_symmetry_space_group_name_Hall '-I 4 2'
_cell_length_a 7.130
_cell_length_b 7.130
_cell_length_c 7.055
_cell_angle_alpha 90.00
_cell_angle_beta 90.00
_cell_angle_gamma 90.00
loop_
_atom_site_label
_atom_site_fract_x
_atom_site_fract_y
_atom_site_fract_z
Dy1 0.000 0.000 0.000
Er1 0.000 0.500 0.000
Ag1 0.250 0.250 0.250

---

# CdFe2P, optimized geometry, DFT PBE-GGA
# Formation energy from the elements   0.055 eV/atom
data_CdFe2P
_chemical_formula_sum 'Cd1 Fe2 P1'
_symmetry_space_group_name_H-M 'P 4 m m'
_symmetry_Int_Tables_number 99
_cell_length_a 2.982
_cell_length_b 2.982
_cell_length_c 6.623
_cell_angle_alpha 90.00
_cell_angle_beta 90.00
_cell_angle_gamma 90.00
loop_
_symmetry_equiv_pos_as_xyz
'x,y,z'
'-y,x,z'
'-x,-y,z'
'y,-x,z'
'-x,y,z'
'y,x,z'
'x,-y,z'
'-y,-x,z'
loop_
_atom_site_label
_atom_site_fract_x
_atom_site_fract_y
_atom_site_fract_z
Cd1 0.000 0.000 0.000
Fe1 0.000 0.000 0.495
Fe2 0.500 0.500 0.278
P1 0.500 0.500 0.643

---

# CsKCo2Ag, optimized geometry, DFT PBE-GGA
# Formation energy from the elements   1.591 eV/atom
data_CsKCo2Ag
_chemical_formula_sum 'Cs1 K1 Co2 Ag1'
_symmetry_space_group_name_H-M 'P 4/m m m'
_symmetry_Int_Tables_number 123
_symmetry_space_group_name_Hall '-P 4 2'
_cell_length_a 6.056
_cell_length_b 6.056
_cell_length_c 6.212
_cell_angle_alpha 90.00
_cell_angle_beta 90.00
_cell_angle_gamma 90.00
loop_
_atom_site_label
_atom_site_fract_x
_atom_site_fract_y
_atom_site_fract_z
Cs1 0.000 0.000 0.000
K1 0.500 0.500 0.500
Co1 0.000 0.500 0.500
Ag1 0.500 0.500 0.000

---

# Pm5PaS7, optimized geometry, DFT PBE-GGA
# Uncorrected formation energy   -1.928 eV per atom
data_Pm5PaS7
_chemical_formula_sum 'Pm20 Pa4 S28'
_symmetry_space_group_name_H-M 'C 1 2/m 1'
_symmetry_Int_Tables_number 12
_cell_length_a 13.416
_cell_length_b 3.926
_cell_length_c 23.316
_cell_angle_alpha 90.00
_cell_angle_beta 92.61
_cell_angle_gamma 90.00
loop_
_symmetry_equiv_pos_as_xyz
'x,y,z'
'-x,-y,-z'
'-x,y,-z'
'x,-y,z'
'x+1/2,y+1/2,z'
'-x+1/2,-y+1/2,-z'
'-x+1/2,y+1/2,-z'
'x+1/2,-y+1/2,z'
loop_
_atom_site_label
_atom_site_fract_x
_atom_site_fract_y
_atom_site_fract_z
Pm1 0.000 0.000 0.000
Pm2 0.000 0.000 0.500
Pm3 0.043 0.500 0.352
Pm4 0.057 0.500 0.151
Pm5 0.217 0.500 0.927
Pm6 0.230 0.500 0.573
Pa1 0.208 0.000 0.732
S1 0.067 0.500 0.753
S2 0.081 0.000 0.888
S3 0.100 0.000 0.617
S4 0.134 0.500 0.463
S5 0.139 0.500 0.040
S6 0.176 0.000 0.317
S7 0.202 0.000 0.185

---

# DyGa4Ag8, optimized geometry, DFT PBE-GGA
# Formation energy from the elements   -0.124 eV/atom
data_DyGa4Ag8
_chemical_formula_sum 'Dy2 Ga8 Ag16'
_symmetry_space_group_name_H-M 'I 4/m m m'
_symmetry_Int_Tables_number 139
_symmetry_space_group_name_Hall '-I 4 2'
_cell_length_a 9.396
_cell_length_b 9.396
_cell_length_c 5.346
_cell_angle_alpha 90.00
_cell_angle_beta 90.00
_cell_angle_gamma 90.00
loop_
_atom_site_label
_atom_site_fract_x
_atom_site_fract_y
_atom_site_fract_z
Dy1 0.000 0.000 0.000
Ga1 0.250 0.250 0.250
Ag1 0.000 0.215 0.500
Ag2 0.000 0.346 0.000

---

# Hf2MnFeN, optimized geometry, DFT PBE-GGA
# Uncorrected formation energy   -0.619 eV per atom
data_Hf2MnFeN
_chemical_formula_sum 'Hf2 Mn1 Fe1 N1'
_symmetry_space_group_name_H-M 'P 4/m m m'
_symmetry_Int_Tables_number 123
_symmetry_space_group_name_Hall '-P 4 2'
_cell_length_a 4.469
_cell_length_b 4.469
_cell_length_c 3.585
_cell_angle_alpha 90.00
_cell_angle_beta 90.00
_cell_angle_gamma 90.00
loop_
_atom_site_label
_atom_site_fract_x
_atom_site_fract_y
_atom_site_fract_z
Hf1 0.000 0.500 0.000
Mn1 0.000 0.000 0.500
Fe1 0.500 0.500 0.500
N1 0.000 0.000 0.000

---

Repeat the third record exactly.
# DyEr2Ag4, optimized geometry, DFT PBE-GGA
# Formation energy from the elements   -0.101 eV/atom
data_DyEr2Ag4
_chemical_formula_sum 'Dy2 Er4 Ag8'
_symmetry_space_group_name_H-M 'I 4/m m m'
_symmetry_Int_Tables_number 139
_symmetry_space_group_name_Hall '-I 4 2'
_cell_length_a 7.130
_cell_length_b 7.130
_cell_length_c 7.055
_cell_angle_alpha 90.00
_cell_angle_beta 90.00
_cell_angle_gamma 90.00
loop_
_atom_site_label
_atom_site_fract_x
_atom_site_fract_y
_atom_site_fract_z
Dy1 0.000 0.000 0.000
Er1 0.000 0.500 0.000
Ag1 0.250 0.250 0.250